Material: LuPaNiRu
Method: DFT, PBE
State: optimized geometry

final energy = -7.64 eV per atom
space-group type = F-43m
calculated formation energy = -1.5 eV per formula unit

```
4
Lattice="4.7705 0.0000 0.0000 2.3853 4.1314 0.0000 2.3853 1.3771 3.8951" Properties=species:S:1:pos:R:3 pbc="T T T"
Pa 4.7705 2.7543 1.9476
Lu 0.0000 0.0000 0.0000
Ru 2.3853 1.3771 0.9738
Ni 7.1558 4.1314 2.9214
```